Entry from the Alexandria database: an optimized crystal structure of NiOsIO2 (PBE with a Hubbard U).

Properties
- DOS at the Fermi energy (states/eV/f.u.) = 0.72
- DFT total energy (eV/atom) = -5.34
- spin magnetization (Bohr magnetons per cell) = 0.92
- space-group type = P4/mmm

abc: 3.725 3.725 8.481
angles: 90.00 90.00 90.00
Each line ends with the local moment (μB).
Sites, in units of the cell vectors:
I 0.000 0.000 0.500  0.01
Ni 0.500 0.500 0.500  -0.91
Os 0.000 0.000 0.000  0.00
O 0.000 0.500 0.000  0.00
O 0.500 0.000 0.000  0.00